# AcFeReO6 (PBE with a Hubbard U, relaxed)
data_AcFeReO6
_chemical_formula_sum 'Ac2 Fe2 Re2 O12'
_cell_length_a 5.8208
_cell_length_b 5.8208
_cell_length_c 8.1188
_cell_angle_alpha 90.00
_cell_angle_beta 90.00
_cell_angle_gamma 120.00
_space_group_name_H-M_alt 'P -3 1 c'
_space_group_IT_number 163
_space_group_name_Hall '-P 3 2c'
loop_
_atom_site_label
_atom_site_fract_x
_atom_site_fract_y
_atom_site_fract_z
_atom_site_occupancy
Ac1 0.3333 0.6667 0.2500 1
Fe1 0.0000 0.0000 0.0000 1
Re1 0.3333 0.6667 0.7500 1
O1 0.0810 0.3820 0.6174 1
# raw total energy	-7.73	eV/atom
# crystal system	trigonal